Entry from Alexandria: a geometry-optimized LaFeP2O structure (GGA+U).

It has space group P4/mmm (No. 123), with a = 4.758 Å, b = 4.758 Å, c = 3.952 Å, α = 90.00°, β = 90.00° and γ = 90.00°. Symmetry generates all atoms from La at (0.000, 0.000, 0.000), Fe at (0.500, 0.500, 0.500), P at (0.000, 0.500, 0.500) and O at (0.500, 0.500, 0.000).

Its relative energy among the computed polymorphs is 0.00 eV per formula unit. The theoretical density is 5.1 g/cm3.